{
  "formula": "MnAlCr2",
  "functional": "PBEsol",
  "state": "optimized geometry",
  "lattice": [[2.858, 0.000, 0.000], [0.000, 4.076, 0.000], [0.000, 0.000, 7.899]],
  "species": ["Mn", "Mn", "Al", "Al", "Cr", "Cr", "Cr", "Cr"],
  "fractional_positions": [[0.000, 0.000, 0.000], [0.500, 0.500, 0.500], [0.000, 0.500, 0.761], [0.500, 0.000, 0.261], [0.000, 0.000, 0.529], [0.000, 0.500, 0.262], [0.500, 0.000, 0.762], [0.500, 0.500, 0.029]],
  "spacegroup": "Imm2",
  "e_tot_ev_per_cell": -69.16,
  "ef_ev_per_fu": -0.24,
  "n_ef_per_ev_atom": 0.959,
  "total_magnetization_mub_per_fu": 0.0
}

***

{
  "formula": "MnAlCr2",
  "functional": "PBEsol",
  "state": "optimized geometry",
  "lattice": [[2.847, 0.000, 0.000], [0.000, 3.984, 0.000], [0.000, 0.000, 8.074]],
  "species": ["Mn", "Mn", "Al", "Al", "Cr", "Cr", "Cr", "Cr"],
  "fractional_positions": [[0.000, 0.000, 0.000], [0.500, 0.500, 0.500], [0.000, 0.000, 0.500], [0.500, 0.500, 0.000], [0.000, 0.500, 0.263], [0.000, 0.500, 0.737], [0.500, 0.000, 0.237], [0.500, 0.000, 0.763]],
  "spacegroup": "Immm",
  "e_tot_ev_per_cell": -69.56,
  "ef_ev_per_fu": -0.44,
  "n_ef_per_ev_atom": 0.820,
  "total_magnetization_mub_per_fu": 0.4
}

***

{
  "formula": "MnAlCr2",
  "functional": "PBEsol",
  "state": "optimized geometry",
  "lattice": [[2.941, 0.000, 0.000], [0.000, 3.976, 0.000], [0.000, 0.000, 4.046]],
  "species": ["Mn", "Al", "Cr", "Cr"],
  "fractional_positions": [[0.000, 0.000, 0.000], [0.500, 0.500, 0.000], [0.000, 0.500, 0.500], [0.500, 0.000, 0.500]],
  "spacegroup": "Pmmm",
  "e_tot_ev_per_cell": -34.42,
  "ef_ev_per_fu": -0.09,
  "n_ef_per_ev_atom": 0.513,
  "total_magnetization_mub_per_fu": 2.0
}

***

{
  "formula": "MnAlCr",
  "functional": "PBEsol",
  "state": "optimized geometry",
  "lattice": [[2.829, 0.000, 0.000], [0.000, 2.829, 0.000], [0.000, 0.000, 8.702]],
  "species": ["Mn", "Mn", "Al", "Al", "Cr", "Cr"],
  "fractional_positions": [[0.000, 0.000, 0.000], [0.500, 0.500, 0.500], [0.000, 0.000, 0.678], [0.500, 0.500, 0.178], [0.000, 0.000, 0.362], [0.500, 0.500, 0.862]],
  "e_above_lowest_polymorph_mev_per_atom": 0,
  "spacegroup": "I4mm",
  "e_tot_ev_per_cell": -49.47,
  "ef_ev_per_fu": -0.64,
  "n_ef_per_ev_atom": 0.479,
  "total_magnetization_mub_per_fu": 0.0
}

***

{
  "formula": "MnAlCr2",
  "functional": "PBEsol",
  "state": "optimized geometry",
  "lattice": [[2.863, 0.000, 0.000], [0.000, 2.863, 0.000], [0.000, 0.000, 5.763]],
  "species": ["Mn", "Al", "Cr", "Cr"],
  "fractional_positions": [[0.000, 0.000, 0.000], [0.500, 0.500, 0.261], [0.000, 0.000, 0.538], [0.500, 0.500, 0.765]],
  "spacegroup": "P4mm",
  "e_tot_ev_per_cell": -34.56,
  "ef_ev_per_fu": -0.22,
  "n_ef_per_ev_atom": 0.586,
  "total_magnetization_mub_per_fu": 1.9
}

***

{
  "formula": "MnAlCr2Ru",
  "functional": "PBEsol",
  "state": "optimized geometry",
  "lattice": [[4.425, 0.000, 0.000], [0.000, 4.425, 0.000], [0.000, 0.000, 4.684]],
  "species": ["Mn", "Al", "Cr", "Cr", "Ru"],
  "fractional_positions": [[0.000, 0.000, 0.000], [0.500, 0.500, 0.000], [0.000, 0.500, 0.500], [0.500, 0.000, 0.500], [0.000, 0.000, 0.500]],
  "spacegroup": "P4/mmm",
  "e_tot_ev_per_cell": -37.69,
  "ef_ev_per_fu": 6.81,
  "n_ef_per_ev_atom": 1.277,
  "total_magnetization_mub_per_fu": 8.4
}